Record 1
La3TlN: relaxed, GGA-PBE.

a b c (Å): 3.617 6.527 6.527
angles (deg): 94.26 90.00 90.00
Element x y z (fractional)
La  0.000  0.000  0.000
La  0.500  0.157  0.498
La  0.500  0.498  0.157
Tl  0.500  0.664  0.664
N  0.000  0.265  0.265

## Properties
Space group: Amm2
Formation energy (no corrections) (meV per atom): -493



Record 2
Cd2NiCl: relaxed, GGA-PBE.

a b c (Å): 3.272 3.272 8.976
angles (deg): 90.00 90.00 121.94
Element x y z (fractional)
Cd  0.000  0.000  0.000
Cd  0.500  0.500  0.292
Ni  0.000  0.000  0.525
Cl  0.500  0.500  0.701

## Properties
Space group: Cmm2
Formation energy (no corrections) (meV per atom): 33
Offset from the most stable computed form (meV/atom): 215



Record 3
SiGeBi2Au6: relaxed, GGA-PBE.

a b c (Å): 5.637 8.817 8.998
angles (deg): 90.00 90.00 90.00
Element x y z (fractional)
Si  0.250  0.250  0.250
Si  0.750  0.750  0.750
Ge  0.250  0.750  0.221
Ge  0.750  0.250  0.779
Bi  0.250  0.010  0.811
Bi  0.250  0.490  0.811
Bi  0.750  0.510  0.189
Bi  0.750  0.990  0.189
Au  0.002  0.250  0.022
Au  0.004  0.750  0.509
Au  0.250  0.503  0.370
Au  0.250  0.997  0.370
Au  0.496  0.750  0.509
Au  0.498  0.250  0.022
Au  0.502  0.750  0.978
Au  0.504  0.250  0.491
Au  0.750  0.003  0.630
Au  0.750  0.497  0.630
Au  0.996  0.250  0.491
Au  0.998  0.750  0.978

## Properties
Space group: Pmmn
Formation energy (no corrections) (meV per atom): 29



Record 4
ZnNi2Pt9: relaxed, GGA-PBE.

a b c (Å): 3.895 3.895 11.733
angles (deg): 90.00 90.00 90.00
Element x y z (fractional)
Zn  0.000  0.000  0.000
Ni  0.000  0.000  0.336
Ni  0.000  0.000  0.664
Pt  0.000  0.500  0.170
Pt  0.000  0.500  0.500
Pt  0.000  0.500  0.830
Pt  0.500  0.000  0.170
Pt  0.500  0.000  0.500
Pt  0.500  0.000  0.830
Pt  0.500  0.500  0.000
Pt  0.500  0.500  0.334
Pt  0.500  0.500  0.666

## Properties
Space group: P4/mmm
Formation energy from the elements (eV/atom): -0.157



Record 5
HgH3Pb: relaxed, GGA-PBE.

a b c (Å): 4.097 4.097 4.097
angles (deg): 90.00 90.00 90.00
Element x y z (fractional)
Hg  0.000  0.000  0.000
H  0.000  0.000  0.500
H  0.000  0.500  0.000
H  0.500  0.000  0.000
Pb  0.500  0.500  0.500

## Properties
Space group: Pm-3m
Offset from the most stable computed form (meV/atom): 135



Record 6
Pm2EuAl: relaxed, GGA-PBE.

a b c (Å): 3.685 3.685 9.263
angles (deg): 90.00 90.00 90.00
Element x y z (fractional)
Pm  0.000  0.000  0.199
Pm  0.000  0.000  0.801
Eu  0.500  0.500  0.500
Al  0.500  0.500  0.000

## Properties
Space group: P4/mmm
Formation energy from the elements (eV/atom): -0.132
Offset from the most stable computed form (meV/atom): 0



Record 7
LiCeMgSn2: relaxed, GGA-PBE.

a b c (Å): 7.080 7.080 7.080
angles (deg): 143.40 143.40 52.73
Element x y z (fractional)
Li  0.000  0.000  0.000
Ce  0.750  0.250  0.500
Mg  0.500  0.500  0.000
Sn  0.138  0.638  0.500
Sn  0.362  0.862  0.500

## Properties
Space group: I-4m2
Formation energy from the elements (eV/atom): -0.422



Record 8
Hg2SeBr: relaxed, GGA-PBE.

a b c (Å): 3.666 3.666 7.490
angles (deg): 90.00 90.00 90.00
Element x y z (fractional)
Hg  0.000  0.000  0.223
Hg  0.000  0.000  0.777
Se  0.500  0.500  0.000
Br  0.500  0.500  0.500

## Properties
Space group: P4/mmm
Formation energy (no corrections) (meV per atom): 120
Offset from the most stable computed form (meV/atom): 375



Record 9
NaPRuO2: relaxed, GGA-PBE.

a b c (Å): 3.851 3.851 4.984
angles (deg): 90.00 90.00 90.00
Element x y z (fractional)
Na  0.000  0.000  0.000
P  0.500  0.500  0.000
Ru  0.500  0.500  0.500
O  0.000  0.500  0.500
O  0.500  0.000  0.500

## Properties
Space group: P4/mmm
Formation energy (no corrections) (meV per atom): -404
Offset from the most stable computed form (meV/atom): 0



Record 10
PBr3F: relaxed, GGA-PBE.

a b c (Å): 8.074 10.219 11.241
angles (deg): 90.00 117.34 90.00
Element x y z (fractional)
P  0.136  0.232  0.062
P  0.136  0.768  0.562
P  0.864  0.232  0.438
P  0.864  0.768  0.938
Br  0.153  0.320  0.498
Br  0.153  0.680  0.998
Br  0.216  0.052  0.198
Br  0.216  0.948  0.698
Br  0.282  0.266  0.930
Br  0.282  0.734  0.430
Br  0.718  0.266  0.570
Br  0.718  0.734  0.070
Br  0.784  0.052  0.302
Br  0.784  0.948  0.802
Br  0.847  0.320  0.002
Br  0.847  0.680  0.502
F  0.253  0.337  0.174
F  0.253  0.663  0.674
F  0.747  0.337  0.326
F  0.747  0.663  0.826

## Properties
Space group: P2/c
Formation energy (no corrections) (meV per atom): -731
Offset from the most stable computed form (meV/atom): 0



Record 11
Tm2Co4P3Ru: relaxed, GGA-PBE.

a b c (Å): 3.855 3.855 9.450
angles (deg): 90.00 90.00 90.00
Element x y z (fractional)
Tm  0.000  0.500  0.241
Tm  0.500  0.000  0.759
Co  0.000  0.000  0.000
Co  0.000  0.500  0.635
Co  0.500  0.000  0.365
Co  0.500  0.500  0.000
P  0.000  0.500  0.870
P  0.500  0.000  0.130
P  0.500  0.500  0.500
Ru  0.000  0.000  0.500

## Properties
Space group: P-4m2
Formation energy from the elements (eV/atom): -0.806



Record 12
Li3Al6Ag2: relaxed, GGA-PBE.

a b c (Å): 4.509 6.885 7.073
angles (deg): 100.44 108.58 109.05
Element x y z (fractional)
Li  0.000  0.000  0.000
Li  0.336  0.248  0.424
Li  0.664  0.752  0.576
Al  0.058  0.779  0.337
Al  0.221  0.660  0.781
Al  0.332  0.524  0.139
Al  0.668  0.476  0.861
Al  0.779  0.340  0.219
Al  0.942  0.221  0.663
Ag  0.400  0.044  0.757
Ag  0.600  0.956  0.243

## Properties
Space group: P-1
Formation energy from the elements (eV/atom): -0.118



no.,Fermi-level density of states (states/eV/cell)
1,8.126
2,2.816
3,5.540
4,18.169
5,1.245
6,4.560
7,7.336
8,2.478
9,4.654
10,1.660
11,7.274
12,1.983